Entry 1:
{"formula": "NaLaHgPd", "functional": "PBE-GGA", "state": "relaxed", "magmom_total_mub_per_cell": 0.000, "energy_ev_per_cell": -53.4, "mass_density_g_cm3": 7.832, "cell": [[7.3536, 0.0000, 0.0000], [0.0000, 7.3536, 0.0000], [0.0000, 0.0000, 7.3536]], "species": ["Na", "Na", "Na", "Na", "La", "La", "La", "La", "Hg", "Hg", "Hg", "Hg", "Pd", "Pd", "Pd", "Pd"], "frac_coords": [[0.0000, 0.0000, 0.0000], [0.0000, 0.5000, 0.5000], [0.5000, 0.0000, 0.5000], [0.5000, 0.5000, 0.0000], [0.0000, 0.0000, 0.5000], [0.0000, 0.5000, 0.0000], [0.5000, 0.0000, 0.0000], [0.5000, 0.5000, 0.5000], [0.2500, 0.2500, 0.7500], [0.2500, 0.7500, 0.2500], [0.7500, 0.2500, 0.2500], [0.7500, 0.7500, 0.7500], [0.2500, 0.2500, 0.2500], [0.2500, 0.7500, 0.7500], [0.7500, 0.2500, 0.7500], [0.7500, 0.7500, 0.2500]]}

Entry 2:
{"formula": "NaLaPr2Hg4", "functional": "PBE-GGA", "state": "relaxed", "magmom_total_mub_per_cell": 0.000, "energy_ev_per_cell": -20.4, "mass_density_g_cm3": 9.158, "cell": [[2.6961, 1.5566, 8.9728], [-2.6961, 1.5566, 8.9728], [0.0000, -3.1132, 8.9728]], "species": ["Na", "La", "Pr", "Pr", "Hg", "Hg", "Hg", "Hg"], "frac_coords": [[0.0000, 0.0000, 0.0000], [0.5000, 0.5000, 0.5000], [0.2552, 0.2552, 0.2552], [0.7448, 0.7448, 0.7448], [0.1242, 0.1242, 0.1242], [0.3748, 0.3748, 0.3748], [0.6252, 0.6252, 0.6252], [0.8758, 0.8758, 0.8758]]}

Entry 3:
{"formula": "NaLaHg2Pt", "functional": "PBE-GGA", "state": "relaxed", "magmom_total_mub_per_cell": 0.000, "energy_ev_per_cell": -13.2, "mass_density_g_cm3": 9.030, "cell": [[5.2648, 0.0000, 0.0000], [0.0000, 5.2648, 0.0000], [0.0000, 0.0000, 5.0301]], "species": ["Na", "La", "Hg", "Hg", "Pt"], "frac_coords": [[0.0000, 0.0000, 0.0000], [0.5000, 0.5000, 0.0000], [0.0000, 0.5000, 0.5000], [0.5000, 0.0000, 0.5000], [0.0000, 0.0000, 0.5000]]}

Entry 4:
{"formula": "NaLa2HgRh", "functional": "PBE-GGA", "state": "relaxed", "magmom_total_mub_per_cell": 0.000, "energy_ev_per_cell": -20.4, "polymorph_energy_ev_per_atom": 0.0000, "mass_density_g_cm3": 6.149, "cell": [[5.4728, 0.0000, 0.0000], [0.0000, 5.4728, 0.0000], [0.0000, 0.0000, 5.4482]], "species": ["Na", "La", "La", "Hg", "Rh"], "frac_coords": [[0.0000, 0.0000, 0.0000], [0.0000, 0.5000, 0.5000], [0.5000, 0.0000, 0.5000], [0.5000, 0.5000, 0.0000], [0.5000, 0.5000, 0.5000]]}

Entry 5:
{"formula": "NaLa2HgRh", "functional": "PBE-GGA", "state": "relaxed", "magmom_total_mub_per_cell": 0.000, "energy_ev_per_cell": -16.3, "polymorph_energy_ev_per_atom": 0.8269, "mass_density_g_cm3": 5.781, "cell": [[5.8666, 0.0000, 0.0000], [0.0000, 5.8666, 0.0000], [0.0000, 0.0000, 5.0437]], "species": ["Na", "La", "La", "Hg", "Rh"], "frac_coords": [[0.0000, 0.0000, 0.0000], [0.0000, 0.5000, 0.5000], [0.5000, 0.0000, 0.5000], [0.0000, 0.0000, 0.5000], [0.5000, 0.5000, 0.0000]]}

Entry 6:
{"formula": "Na2LaHgSb2", "functional": "PBE-GGA", "state": "relaxed", "magmom_total_mub_per_cell": 0.000, "energy_ev_per_cell": -39.2, "mass_density_g_cm3": 5.829, "cell": [[4.6383, 0.0000, 0.0000], [0.0000, 9.1222, 0.0000], [0.0000, 0.0000, 8.4701]], "species": ["Na", "Na", "Na", "Na", "La", "La", "Hg", "Hg", "Sb", "Sb", "Sb", "Sb"], "frac_coords": [[0.0000, 0.0772, 0.0000], [0.0000, 0.9228, 0.5000], [0.5000, 0.1669, 0.3212], [0.5000, 0.8331, 0.8212], [0.5000, 0.4565, 0.9304], [0.5000, 0.5435, 0.4304], [0.0000, 0.2997, 0.5720], [0.0000, 0.7003, 0.0720], [0.0000, 0.3888, 0.1949], [0.0000, 0.6112, 0.6949], [0.5000, 0.1575, 0.7163], [0.5000, 0.8425, 0.2163]]}

Entry 7:
{"formula": "NaLaHg2Se", "functional": "PBE-GGA", "state": "relaxed", "magmom_total_mub_per_cell": 0.000, "energy_ev_per_cell": -10.1, "mass_density_g_cm3": 6.366, "cell": [[5.0191, 0.0000, 0.0000], [0.0000, 5.0191, 0.0000], [0.0000, 0.0000, 6.6479]], "species": ["Na", "La", "Hg", "Hg", "Se"], "frac_coords": [[0.0000, 0.0000, 0.0000], [0.0000, 0.0000, 0.5000], [0.0000, 0.5000, 0.0000], [0.5000, 0.0000, 0.0000], [0.5000, 0.5000, 0.5000]]}

Entry 8:
{"formula": "NaLaSmHg", "functional": "PBE-GGA", "state": "relaxed", "magmom_total_mub_per_cell": 3.225, "energy_ev_per_cell": -46.4, "mass_density_g_cm3": 7.105, "cell": [[7.8266, 0.0000, 0.0000], [0.0000, 7.8266, 0.0000], [0.0000, 0.0000, 7.8266]], "species": ["Na", "Na", "Na", "Na", "La", "La", "La", "La", "Sm", "Sm", "Sm", "Sm", "Hg", "Hg", "Hg", "Hg"], "frac_coords": [[0.0000, 0.0000, 0.0000], [0.0000, 0.5000, 0.5000], [0.5000, 0.0000, 0.5000], [0.5000, 0.5000, 0.0000], [0.2500, 0.2500, 0.2500], [0.2500, 0.7500, 0.7500], [0.7500, 0.2500, 0.7500], [0.7500, 0.7500, 0.2500], [0.2500, 0.2500, 0.7500], [0.2500, 0.7500, 0.2500], [0.7500, 0.2500, 0.2500], [0.7500, 0.7500, 0.7500], [0.0000, 0.0000, 0.5000], [0.0000, 0.5000, 0.0000], [0.5000, 0.0000, 0.0000], [0.5000, 0.5000, 0.5000]]}

What did the eighth record say?
{"formula": "NaLaSmHg", "functional": "PBE-GGA", "state": "relaxed", "magmom_total_mub_per_cell": 3.225, "energy_ev_per_cell": -46.4, "mass_density_g_cm3": 7.105, "cell": [[7.8266, 0.0000, 0.0000], [0.0000, 7.8266, 0.0000], [0.0000, 0.0000, 7.8266]], "species": ["Na", "Na", "Na", "Na", "La", "La", "La", "La", "Sm", "Sm", "Sm", "Sm", "Hg", "Hg", "Hg", "Hg"], "frac_coords": [[0.0000, 0.0000, 0.0000], [0.0000, 0.5000, 0.5000], [0.5000, 0.0000, 0.5000], [0.5000, 0.5000, 0.0000], [0.2500, 0.2500, 0.2500], [0.2500, 0.7500, 0.7500], [0.7500, 0.2500, 0.7500], [0.7500, 0.7500, 0.2500], [0.2500, 0.2500, 0.7500], [0.2500, 0.7500, 0.2500], [0.7500, 0.2500, 0.2500], [0.7500, 0.7500, 0.7500], [0.0000, 0.0000, 0.5000], [0.0000, 0.5000, 0.0000], [0.5000, 0.0000, 0.0000], [0.5000, 0.5000, 0.5000]]}